--- one ---
Below is an optimized crystal structure of K2Al2Tc, with properties calculated at the GGA-PBE level.

Structure (extended XYZ):
```
10
Lattice="3.6978 0.0000 0.0000 0.0000 3.6978 0.0000 0.0000 0.0000 15.9761" Properties=species:S:1:pos:R:3 pbc="T T T"
K 0.0000 1.8489 3.9940
K 0.0000 1.8489 11.9821
K 1.8489 0.0000 3.9940
K 1.8489 0.0000 11.9821
Al 0.0000 0.0000 1.2312
Al 0.0000 0.0000 14.7449
Al 1.8489 1.8489 6.7568
Al 1.8489 1.8489 9.2193
Tc 0.0000 0.0000 7.9881
Tc 1.8489 1.8489 0.0000
```

---

--- two ---
Below is an optimized crystal structure of K2Al2Tc, with properties calculated at the GGA-PBE level.

Structure (extended XYZ):
```
10
Lattice="6.9223 0.0000 0.0000 0.0000 6.9223 0.0000 0.0000 0.0000 6.1378" Properties=species:S:1:pos:R:3 pbc="T T T"
K 1.1535 2.3076 0.0000
K 2.3076 5.7687 0.0000
K 4.6147 1.1535 0.0000
K 5.7687 4.6147 0.0000
Al 1.4933 4.9544 3.0689
Al 1.9679 1.4933 3.0689
Al 4.9544 5.4290 3.0689
Al 5.4290 1.9679 3.0689
Tc 0.0000 0.0000 3.0689
Tc 3.4611 3.4611 3.0689
```

---

What should be chosen as the least stable of them? Choose one.

---

--- one ---
Below is an optimized crystal structure of KAlTe, with properties calculated at the GGA-PBE level.

Structure (extended XYZ):
```
3
Lattice="4.2601 0.0000 0.0000 -2.1301 3.6894 0.0000 0.0000 0.0000 6.7390" Properties=species:S:1:pos:R:3 pbc="T T T"
K 0.0000 0.0000 0.0000
Al 0.0000 2.4596 4.0309
Te 2.1301 1.2298 2.5884
```

---

--- two ---
Below is an optimized crystal structure of KAlTe, with properties calculated at the GGA-PBE level.

Structure (extended XYZ):
```
12
Lattice="7.6608 0.0000 0.0000 0.0000 7.6608 0.0000 0.0000 0.0000 7.6608" Properties=species:S:1:pos:R:3 pbc="T T T"
K 0.0000 0.0000 0.0000
K 0.0000 3.8304 3.8304
K 3.8304 0.0000 3.8304
K 3.8304 3.8304 0.0000
Al 1.9152 1.9152 1.9152
Al 1.9152 5.7456 5.7456
Al 5.7456 1.9152 5.7456
Al 5.7456 5.7456 1.9152
Te 1.9152 1.9152 5.7456
Te 1.9152 5.7456 1.9152
Te 5.7456 1.9152 1.9152
Te 5.7456 5.7456 5.7456
```

---

What should be chosen as the least stable of them? Choose two.

---

--- one ---
Below is an optimized crystal structure of KAlTe, with properties calculated at the GGA-PBE level.

Structure (extended XYZ):
```
6
Lattice="5.5294 0.0000 0.0000 0.0000 5.5294 0.0000 0.0000 0.0000 7.2243" Properties=species:S:1:pos:R:3 pbc="T T T"
K 1.3824 1.3824 1.2047
K 4.1471 4.1471 6.0195
Al 1.3824 4.1471 3.6121
Al 4.1471 1.3824 3.6121
Te 1.3824 1.3824 4.8658
Te 4.1471 4.1471 2.3584
```

---

--- two ---
Below is an optimized crystal structure of KAlTe, with properties calculated at the GGA-PBE level.

Structure (extended XYZ):
```
6
Lattice="3.9016 0.0000 0.0000 0.0000 3.9016 0.0000 0.0000 0.0000 12.6224" Properties=species:S:1:pos:R:3 pbc="T T T"
K 0.0000 0.0000 0.0000
K 1.9508 1.9508 6.3112
Al 0.0000 0.0000 8.8774
Al 1.9508 1.9508 2.5662
Te 0.0000 0.0000 3.7721
Te 1.9508 1.9508 10.0833
```

---

What should be chosen as the least stable of them? Choose one.

---

--- one ---
Below is an optimized crystal structure of K2AlTe, with properties calculated at the GGA-PBE level.

Structure (extended XYZ):
```
16
Lattice="8.3372 0.0000 0.0000 0.0000 8.3372 0.0000 0.0000 0.0000 8.3372" Properties=species:S:1:pos:R:3 pbc="T T T"
K 2.0843 2.0843 2.0843
K 2.0843 2.0843 6.2529
K 2.0843 6.2529 2.0843
K 2.0843 6.2529 6.2529
K 6.2529 2.0843 2.0843
K 6.2529 2.0843 6.2529
K 6.2529 6.2529 2.0843
K 6.2529 6.2529 6.2529
Al 0.0000 0.0000 0.0000
Al 0.0000 4.1686 4.1686
Al 4.1686 0.0000 4.1686
Al 4.1686 4.1686 0.0000
Te 0.0000 0.0000 4.1686
Te 0.0000 4.1686 0.0000
Te 4.1686 0.0000 0.0000
Te 4.1686 4.1686 4.1686
```

---

--- two ---
Below is an optimized crystal structure of K2AlTe, with properties calculated at the GGA-PBE level.

Structure (extended XYZ):
```
16
Lattice="8.2517 0.0000 0.0000 0.0000 8.2517 0.0000 0.0000 0.0000 8.2517" Properties=species:S:1:pos:R:3 pbc="T T T"
K 0.0000 0.0000 0.0000
K 0.0000 4.1258 4.1258
K 2.0629 2.0629 2.0629
K 2.0629 6.1887 6.1887
K 4.1258 0.0000 4.1258
K 4.1258 4.1258 0.0000
K 6.1887 2.0629 6.1887
K 6.1887 6.1887 2.0629
Al 0.0000 0.0000 4.1258
Al 0.0000 4.1258 0.0000
Al 4.1258 0.0000 0.0000
Al 4.1258 4.1258 4.1258
Te 2.0629 2.0629 6.1887
Te 2.0629 6.1887 2.0629
Te 6.1887 2.0629 2.0629
Te 6.1887 6.1887 6.1887
```

---

What should be chosen as the least stable of them? Choose two.

---

--- one ---
Below is an optimized crystal structure of K2AlTe, with properties calculated at the GGA-PBE level.

Structure (extended XYZ):
```
8
Lattice="13.2584 0.0000 0.0000 0.0000 4.1401 0.0000 -2.3167 0.0000 5.3877" Properties=species:S:1:pos:R:3 pbc="T T T"
K 0.0000 0.0000 0.0000
K 1.1068 0.0000 3.6195
K 6.6292 2.0700 0.0000
K 7.7360 2.0700 3.6195
Al 3.1408 2.0700 1.2754
Al 9.7701 0.0000 1.2754
Te 4.6946 0.0000 2.4102
Te 11.3238 2.0700 2.4102
```

---

--- two ---
Below is an optimized crystal structure of K2AlTe, with properties calculated at the GGA-PBE level.

Structure (extended XYZ):
```
8
Lattice="7.4789 0.0000 0.0000 0.0000 10.7083 0.0000 0.0000 0.0000 3.3422" Properties=species:S:1:pos:R:3 pbc="T T T"
K 1.8697 2.6771 0.0000
K 1.8697 8.0312 0.0000
K 5.6092 2.6771 0.0000
K 5.6092 8.0312 0.0000
Al 0.0000 0.0000 1.6711
Al 3.7394 5.3541 1.6711
Te 0.0000 5.3541 1.6711
Te 3.7394 0.0000 1.6711
```

---

What should be chosen as the least stable of them? Choose two.

---

--- one ---
Below is an optimized crystal structure of KAl3Te, with properties calculated at the GGA-PBE level.

Structure (extended XYZ):
```
5
Lattice="5.6682 0.0000 0.0000 0.0000 5.6682 0.0000 0.0000 0.0000 5.6682" Properties=species:S:1:pos:R:3 pbc="T T T"
K 0.0000 0.0000 0.0000
Al 0.0000 2.8341 2.8341
Al 2.8341 0.0000 2.8341
Al 2.8341 2.8341 0.0000
Te 2.8341 2.8341 2.8341
```

---

--- two ---
Below is an optimized crystal structure of KAl3Te, with properties calculated at the GGA-PBE level.

Structure (extended XYZ):
```
5
Lattice="5.8337 0.0000 0.0000 0.0000 5.8337 0.0000 0.0000 0.0000 5.8337" Properties=species:S:1:pos:R:3 pbc="T T T"
K 0.0000 0.0000 0.0000
Al 0.0000 0.0000 2.9169
Al 0.0000 2.9169 0.0000
Al 2.9169 0.0000 0.0000
Te 2.9169 2.9169 2.9169
```

---

What should be chosen as the least stable of them? Choose two.

---

--- one ---
Below is an optimized crystal structure of KAlTe4, with properties calculated at the GGA-PBE level.

Structure (extended XYZ):
```
12
Lattice="4.1059 -10.1834 0.0000 4.1059 10.1834 0.0000 -3.3990 0.0000 5.7286" Properties=species:S:1:pos:R:3 pbc="T T T"
K 1.5566 8.4576 4.2965
K 3.2561 -8.4576 1.4322
Al 1.5566 0.0784 4.2965
Al 3.2561 -0.0784 1.4322
Te 1.5181 4.2165 2.9209
Te -0.5798 1.4597 5.0518
Te 1.1197 -1.4597 2.1875
Te 1.5951 4.2165 5.6720
Te 3.2176 -4.2165 0.0566
Te 3.6931 1.4597 3.5411
Te 5.3926 -1.4597 0.6768
Te 3.2946 -4.2165 2.8077
```

---

--- two ---
Below is an optimized crystal structure of KAlTe4, with properties calculated at the GGA-PBE level.

Structure (extended XYZ):
```
6
Lattice="0.0000 4.6300 4.6300 4.6300 0.0000 4.6300 4.6300 4.6300 0.0000" Properties=species:S:1:pos:R:3 pbc="T T T"
K 0.0000 0.0000 0.0000
Al 2.3150 2.3150 2.3150
Te 5.7823 3.4776 3.4776
Te 3.4776 5.7823 3.4776
Te 3.4776 3.4776 5.7823
Te 5.7823 5.7823 5.7823
```

---

What should be chosen as the least stable of them? Choose two.

---

--- one ---
Below is an optimized crystal structure of KTiAl3, with properties calculated at the GGA-PBE level.

Structure (extended XYZ):
```
5
Lattice="5.1831 0.0000 0.0000 0.0000 5.1831 0.0000 0.0000 0.0000 5.1831" Properties=species:S:1:pos:R:3 pbc="T T T"
K 0.0000 0.0000 0.0000
Ti 2.5915 2.5915 2.5915
Al 0.0000 2.5915 2.5915
Al 2.5915 0.0000 2.5915
Al 2.5915 2.5915 0.0000
```

---

--- two ---
Below is an optimized crystal structure of KTiAl3, with properties calculated at the GGA-PBE level.

Structure (extended XYZ):
```
5
Lattice="5.1233 0.0000 0.0000 0.0000 5.1233 0.0000 0.0000 0.0000 5.1233" Properties=species:S:1:pos:R:3 pbc="T T T"
K 0.0000 0.0000 0.0000
Ti 2.5616 2.5616 2.5616
Al 0.0000 0.0000 2.5616
Al 0.0000 2.5616 0.0000
Al 2.5616 0.0000 0.0000
```

---

What should be chosen as the least stable of them? Choose two.

---

--- one ---
Below is an optimized crystal structure of KTi3Al, with properties calculated at the GGA-PBE level.

Structure (extended XYZ):
```
5
Lattice="4.5076 0.0000 0.0000 0.0000 4.5076 0.0000 0.0000 0.0000 4.5076" Properties=species:S:1:pos:R:3 pbc="T T T"
K 0.0000 0.0000 0.0000
Ti 0.0000 0.0000 2.2538
Ti 0.0000 2.2538 0.0000
Ti 2.2538 0.0000 0.0000
Al 2.2538 2.2538 2.2538
```

---

--- two ---
Below is an optimized crystal structure of KTi3Al, with properties calculated at the GGA-PBE level.

Structure (extended XYZ):
```
5
Lattice="5.0594 0.0000 0.0000 0.0000 5.0594 0.0000 0.0000 0.0000 5.0594" Properties=species:S:1:pos:R:3 pbc="T T T"
K 0.0000 0.0000 0.0000
Ti 0.0000 2.5297 2.5297
Ti 2.5297 0.0000 2.5297
Ti 2.5297 2.5297 0.0000
Al 2.5297 2.5297 2.5297
```

---

What should be chosen as the least stable of them? Choose one.

---

--- one ---
Below is an optimized crystal structure of KAl3Tl, with properties calculated at the GGA-PBE level.

Structure (extended XYZ):
```
5
Lattice="5.8290 0.0000 0.0000 0.0000 5.8290 0.0000 0.0000 0.0000 5.8290" Properties=species:S:1:pos:R:3 pbc="T T T"
K 0.0000 0.0000 0.0000
Al 0.0000 0.0000 2.9145
Al 0.0000 2.9145 0.0000
Al 2.9145 0.0000 0.0000
Tl 2.9145 2.9145 2.9145
```

---

--- two ---
Below is an optimized crystal structure of KAl3Tl, with properties calculated at the GGA-PBE level.

Structure (extended XYZ):
```
5
Lattice="5.5529 0.0000 0.0000 0.0000 5.5529 0.0000 0.0000 0.0000 5.5529" Properties=species:S:1:pos:R:3 pbc="T T T"
K 0.0000 0.0000 0.0000
Al 0.0000 2.7765 2.7765
Al 2.7765 0.0000 2.7765
Al 2.7765 2.7765 0.0000
Tl 2.7765 2.7765 2.7765
```

---

What should be chosen as the least stable of them? Choose one.

---

--- one ---
Below is an optimized crystal structure of K2AlTl, with properties calculated at the GGA-PBE level.

Structure (extended XYZ):
```
8
Lattice="4.8094 0.0000 0.0000 0.0000 5.3265 0.0000 0.0000 0.0000 11.1556" Properties=species:S:1:pos:R:3 pbc="T T T"
K 0.0000 0.0000 2.6672
K 0.0000 0.0000 8.4884
K 2.4047 2.6633 2.6672
K 2.4047 2.6633 8.4884
Al 0.0000 2.6633 0.0000
Al 2.4047 0.0000 0.0000
Tl 0.0000 2.6633 5.5778
Tl 2.4047 0.0000 5.5778
```

---

--- two ---
Below is an optimized crystal structure of K2AlTl, with properties calculated at the GGA-PBE level.

Structure (extended XYZ):
```
8
Lattice="6.4974 0.0000 0.0000 0.0000 11.4759 0.0000 -0.1639 0.0000 3.7219" Properties=species:S:1:pos:R:3 pbc="T T T"
K 1.6243 2.8690 0.0000
K 1.6243 8.6069 0.0000
K 4.8730 2.8690 0.0000
K 4.8730 8.6069 0.0000
Al -0.0819 0.0000 1.8610
Al 3.1667 5.7379 1.8610
Tl -0.0819 5.7379 1.8610
Tl 3.1667 0.0000 1.8610
```

---

What should be chosen as the least stable of them? Choose one.

---

--- one ---
Below is an optimized crystal structure of KAlV3, with properties calculated at the GGA-PBE level.

Structure (extended XYZ):
```
5
Lattice="5.0830 0.0000 0.0000 0.0000 5.0830 0.0000 0.0000 0.0000 5.0830" Properties=species:S:1:pos:R:3 pbc="T T T"
K 0.0000 0.0000 0.0000
Al 2.5415 2.5415 2.5415
V 0.0000 2.5415 2.5415
V 2.5415 0.0000 2.5415
V 2.5415 2.5415 0.0000
```

---

--- two ---
Below is an optimized crystal structure of KAlV3, with properties calculated at the GGA-PBE level.

Structure (extended XYZ):
```
5
Lattice="4.2980 0.0000 0.0000 0.0000 4.2980 0.0000 0.0000 0.0000 4.2980" Properties=species:S:1:pos:R:3 pbc="T T T"
K 0.0000 0.0000 0.0000
Al 2.1490 2.1490 2.1490
V 0.0000 0.0000 2.1490
V 0.0000 2.1490 0.0000
V 2.1490 0.0000 0.0000
```

---

What should be chosen as the least stable of them? Choose two.

---

--- one ---
Below is an optimized crystal structure of KAl2W, with properties calculated at the GGA-PBE level.

Structure (extended XYZ):
```
16
Lattice="6.7879 0.0000 0.0000 0.0000 6.7879 0.0000 0.0000 0.0000 6.7879" Properties=species:S:1:pos:R:3 pbc="T T T"
K 0.0000 0.0000 0.0000
K 0.0000 3.3940 3.3940
K 3.3940 0.0000 3.3940
K 3.3940 3.3940 0.0000
Al 0.0000 0.0000 3.3940
Al 0.0000 3.3940 0.0000
Al 1.6970 1.6970 5.0910
Al 1.6970 5.0910 1.6970
Al 3.3940 0.0000 0.0000
Al 3.3940 3.3940 3.3940
Al 5.0910 1.6970 1.6970
Al 5.0910 5.0910 5.0910
W 1.6970 1.6970 1.6970
W 1.6970 5.0910 5.0910
W 5.0910 1.6970 5.0910
W 5.0910 5.0910 1.6970
```

---

--- two ---
Below is an optimized crystal structure of KAl2W, with properties calculated at the GGA-PBE level.

Structure (extended XYZ):
```
8
Lattice="7.2874 0.0000 0.0000 0.0000 7.2907 0.0000 -0.0053 0.0000 2.8249" Properties=species:S:1:pos:R:3 pbc="T T T"
K 0.0000 0.0000 0.0000
K 3.6437 3.6454 0.0000
Al 1.8192 1.8227 1.4124
Al 1.8192 5.4681 1.4124
Al 5.4629 1.8227 1.4124
Al 5.4629 5.4681 1.4124
W 0.0000 3.6454 0.0000
W 3.6437 0.0000 0.0000
```

---

--- three ---
Below is an optimized crystal structure of KAl2W, with properties calculated at the GGA-PBE level.

Structure (extended XYZ):
```
4
Lattice="2.8452 0.0000 0.0000 0.0000 3.8350 0.0000 0.0000 0.0000 7.9741" Properties=species:S:1:pos:R:3 pbc="T T T"
K 0.0000 0.0000 0.0000
Al 1.4226 1.9175 2.6319
Al 1.4226 1.9175 5.3421
W 0.0000 0.0000 3.9870
```

---

--- four ---
Below is an optimized crystal structure of KAl2W, with properties calculated at the GGA-PBE level.

Structure (extended XYZ):
```
4
Lattice="2.7841 0.0000 0.0000 0.0000 4.5612 0.0000 -0.0244 0.0000 8.0382" Properties=species:S:1:pos:R:3 pbc="T T T"
K 0.0000 0.0000 0.0000
Al 1.3837 0.0000 3.1435
Al 1.3835 2.2806 5.2493
W -0.0083 2.2806 3.0406
```

---

What should be chosen as the least stable of them? Choose one.